Entry 1:
A plane-wave DFT calculation with PBE with a Hubbard U was carried out for an optimized crystal structure of Th2VF11.

Cell and atoms, written as CIF:
```
data_Th2VF11
_cell_length_a 8.650
_cell_length_b 10.282
_cell_length_c 10.724
_cell_angle_alpha 90.00
_cell_angle_beta 90.00
_cell_angle_gamma 90.00
_space_group_name_H-M_alt 'I b a m'
_space_group_IT_number 72
_space_group_name_Hall '-I 2 2c'
loop_
_atom_site_label
_atom_site_fract_x
_atom_site_fract_y
_atom_site_fract_z
_atom_site_occupancy
Th1 0.145 0.190 0.000 1
V1 0.000 0.500 0.250 1
F1 0.000 0.000 0.000 1
F2 0.082 0.362 0.138 1
F3 0.125 0.210 0.500 1
F4 0.227 0.411 0.350 1
```

Energy, eV/f.u.: -93.88

---

Entry 2:
A plane-wave DFT calculation with PBE with a Hubbard U was carried out for an optimized crystal structure of ThVF2.

Cell and atoms, written as CIF:
```
data_ThVF2
_cell_length_a 3.5502
_cell_length_b 3.5502
_cell_length_c 19.7952
_cell_angle_alpha 90.00
_cell_angle_beta 90.00
_cell_angle_gamma 120.00
_space_group_name_H-M_alt 'R -3 m'
_space_group_IT_number 166
_space_group_name_Hall '-R 3 2"'
loop_
_atom_site_label
_atom_site_fract_x
_atom_site_fract_y
_atom_site_fract_z
_atom_site_occupancy
Th1 0.0000 0.0000 0.0000 1
V1 0.0000 0.0000 0.5000 1
F1 0.0000 0.0000 0.1283 1
```

Energy, eV/f.u.: -25.28

---

Entry 3:
A plane-wave DFT calculation with PBE with a Hubbard U was carried out for an optimized crystal structure of ThV2F11.

Cell and atoms, written as CIF:
```
data_ThV2F11
_cell_length_a 7.449
_cell_length_b 9.574
_cell_length_c 11.075
_cell_angle_alpha 90.00
_cell_angle_beta 90.00
_cell_angle_gamma 90.00
_space_group_name_H-M_alt 'I b a m'
_space_group_IT_number 72
_space_group_name_Hall '-I 2 2c'
loop_
_atom_site_label
_atom_site_fract_x
_atom_site_fract_y
_atom_site_fract_z
_atom_site_occupancy
Th1 0.000 0.000 0.250 1
V1 0.135 0.322 0.000 1
F1 0.000 0.500 0.000 1
F2 0.093 0.193 0.137 1
F3 0.141 0.279 0.500 1
F4 0.240 0.070 0.371 1
```

Energy, eV/f.u.: -87.08

---

Please write out number 1 again, unchanged.
A plane-wave DFT calculation with PBE with a Hubbard U was carried out for an optimized crystal structure of Th2VF11.

Cell and atoms, written as CIF:
```
data_Th2VF11
_cell_length_a 8.650
_cell_length_b 10.282
_cell_length_c 10.724
_cell_angle_alpha 90.00
_cell_angle_beta 90.00
_cell_angle_gamma 90.00
_space_group_name_H-M_alt 'I b a m'
_space_group_IT_number 72
_space_group_name_Hall '-I 2 2c'
loop_
_atom_site_label
_atom_site_fract_x
_atom_site_fract_y
_atom_site_fract_z
_atom_site_occupancy
Th1 0.145 0.190 0.000 1
V1 0.000 0.500 0.250 1
F1 0.000 0.000 0.000 1
F2 0.082 0.362 0.138 1
F3 0.125 0.210 0.500 1
F4 0.227 0.411 0.350 1
```

Energy, eV/f.u.: -93.88